Entry 1:
Entry from OQMD via LeMat-Bulk: an optimized crystal structure of RbNdGeSe3 (GGA-PBE).

Calculated values
- M_tot: 0.0 μB per formula unit

a b c (Å): 7.861 7.861 11.574
angles (deg): 90.00 90.00 146.10
Element x y z (fractional)
Rb1 0.246 0.754 0.750
Rb2 0.754 0.246 0.250
Nd1 0.500 0.500 0.000
Nd2 0.500 0.500 0.500
Ge1 0.033 0.967 0.250
Ge2 0.967 0.033 0.750
Se1 0.125 0.875 0.053
Se2 0.125 0.875 0.447
Se3 0.438 0.562 0.250
Se4 0.562 0.438 0.750
Se5 0.875 0.125 0.553
Se6 0.875 0.125 0.947

---

Entry 2:
Entry from OQMD via LeMat-Bulk: an optimized crystal structure of RbNdGeTe3 (GGA-PBE).

Calculated values
- M_tot: 0.0 μB per formula unit

a b c (Å): 8.315 8.315 12.281
angles (deg): 90.00 90.00 146.56
Element x y z (fractional)
Rb1 0.249 0.751 0.750
Rb2 0.751 0.249 0.250
Nd1 0.000 0.000 0.000
Nd2 0.000 0.000 0.500
Ge1 0.465 0.535 0.250
Ge2 0.535 0.465 0.750
Te1 0.066 0.934 0.250
Te2 0.369 0.631 0.052
Te3 0.369 0.631 0.448
Te4 0.631 0.369 0.552
Te5 0.631 0.369 0.948
Te6 0.934 0.066 0.750

---

Entry 3:
Entry from OQMD via LeMat-Bulk: an optimized crystal structure of NdReGe (GGA-PBE).

Calculated values
- M_tot: 1.6 μB per formula unit
- Excess energy over the best structure of this formula in the dataset: 90.5 kJ per mole of atoms

a b c (Å): 6.752 6.752 6.752
angles (deg): 90.00 90.00 90.00
Element x y z (fractional)
Nd1 0.000 0.000 0.000
Nd2 0.000 0.500 0.500
Nd3 0.500 0.000 0.500
Nd4 0.500 0.500 0.000
Re1 0.250 0.250 0.250
Re2 0.250 0.750 0.750
Re3 0.750 0.250 0.750
Re4 0.750 0.750 0.250
Ge1 0.250 0.250 0.750
Ge2 0.250 0.750 0.250
Ge3 0.750 0.250 0.250
Ge4 0.750 0.750 0.750

---

Entry 4:
Entry from OQMD via LeMat-Bulk: an optimized crystal structure of NdReGe (GGA-PBE).

Calculated values
- M_tot: 0.0 μB per formula unit
- Excess energy over the best structure of this formula in the dataset: 0.0 kJ per mole of atoms

a b c (Å): 6.452 6.452 6.452
angles (deg): 90.00 90.00 90.00
Element x y z (fractional)
Nd1 0.000 0.000 0.000
Nd2 0.000 0.500 0.500
Nd3 0.500 0.000 0.500
Nd4 0.500 0.500 0.000
Re1 0.000 0.000 0.500
Re2 0.000 0.500 0.000
Re3 0.500 0.000 0.000
Re4 0.500 0.500 0.500
Ge1 0.250 0.250 0.250
Ge2 0.250 0.750 0.750
Ge3 0.750 0.250 0.750
Ge4 0.750 0.750 0.250

---

Entry 5:
Entry from OQMD via LeMat-Bulk: an optimized crystal structure of Nd2GeS4 (GGA-PBE).

Calculated values
- M_tot: 0.0 μB per formula unit

a b c (Å): 6.503 6.825 8.000
angles (deg): 90.00 106.25 90.00
Element x y z (fractional)
Nd1 0.238 0.000 0.058
Nd2 0.249 0.993 0.562
Nd3 0.751 0.493 0.438
Nd4 0.762 0.500 0.942
Ge1 0.278 0.504 0.315
Ge2 0.722 0.004 0.685
S1 0.000 0.244 0.754
S2 0.000 0.744 0.246
S3 0.014 0.249 0.260
S4 0.464 0.362 0.104
S5 0.468 0.361 0.642
S6 0.532 0.861 0.358
S7 0.536 0.862 0.896
S8 0.986 0.749 0.740

---

Entry 6:
Entry from OQMD via LeMat-Bulk: an optimized crystal structure of NdScGe (GGA-PBE).

Calculated values
- M_tot: 0.8 μB per formula unit
- Excess energy over the best structure of this formula in the dataset: 102.6 kJ per mole of atoms

a b c (Å): 6.988 6.988 6.988
angles (deg): 90.00 90.00 90.00
Element x y z (fractional)
Nd1 0.000 0.000 0.000
Nd2 0.000 0.500 0.500
Nd3 0.500 0.000 0.500
Nd4 0.500 0.500 0.000
Sc1 0.250 0.250 0.250
Sc2 0.250 0.750 0.750
Sc3 0.750 0.250 0.750
Sc4 0.750 0.750 0.250
Ge1 0.250 0.250 0.750
Ge2 0.250 0.750 0.250
Ge3 0.750 0.250 0.250
Ge4 0.750 0.750 0.750

---

Entry 7:
Entry from OQMD via LeMat-Bulk: an optimized crystal structure of NdScGe (GGA-PBE).

Calculated values
- M_tot: 0.9 μB per formula unit
- Excess energy over the best structure of this formula in the dataset: 0.0 kJ per mole of atoms

a b c (Å): 4.320 4.320 16.039
angles (deg): 90.00 90.00 90.00
Element x y z (fractional)
Nd1 0.000 0.000 0.000
Nd2 0.000 0.000 0.353
Nd3 0.500 0.500 0.500
Nd4 0.500 0.500 0.853
Sc1 0.000 0.500 0.176
Sc2 0.000 0.500 0.676
Sc3 0.500 0.000 0.176
Sc4 0.500 0.000 0.676
Ge1 0.000 0.000 0.554
Ge2 0.000 0.000 0.798
Ge3 0.500 0.500 0.054
Ge4 0.500 0.500 0.298

---

Entry 8:
Entry from OQMD via LeMat-Bulk: an optimized crystal structure of NdScGe (GGA-PBE).

Calculated values
- M_tot: 1.5 μB per formula unit
- Excess energy over the best structure of this formula in the dataset: 85.3 kJ per mole of atoms

a b c (Å): 6.831 6.831 6.831
angles (deg): 90.00 90.00 90.00
Element x y z (fractional)
Nd1 0.000 0.000 0.000
Nd2 0.000 0.500 0.500
Nd3 0.500 0.000 0.500
Nd4 0.500 0.500 0.000
Sc1 0.250 0.250 0.750
Sc2 0.250 0.750 0.250
Sc3 0.750 0.250 0.250
Sc4 0.750 0.750 0.750
Ge1 0.000 0.000 0.500
Ge2 0.000 0.500 0.000
Ge3 0.500 0.000 0.000
Ge4 0.500 0.500 0.500

---

Entry 9:
Entry from OQMD via LeMat-Bulk: an optimized crystal structure of NdScGe2 (GGA-PBE).

Calculated values
- M_tot: 0.1 μB per formula unit

a b c (Å): 3.214 5.810 11.267
angles (deg): 90.00 90.00 90.00
Element x y z (fractional)
Nd1 0.000 0.000 0.000
Nd2 0.000 0.500 0.500
Sc1 0.000 0.000 0.294
Sc2 0.000 0.500 0.794
Ge1 0.000 0.000 0.526
Ge2 0.000 0.000 0.743
Ge3 0.000 0.500 0.026
Ge4 0.000 0.500 0.243

---

Entry 10:
Entry from OQMD via LeMat-Bulk: an optimized crystal structure of NdSmSc2Ge2 (GGA-PBE).

Calculated values
- M_tot: 1.7 μB per formula unit

a b c (Å): 4.301 4.301 15.934
angles (deg): 90.00 90.00 90.00
Element x y z (fractional)
Nd1 0.000 0.000 0.000
Nd2 0.500 0.500 0.500
Sm1 0.000 0.000 0.647
Sm2 0.500 0.500 0.147
Sc1 0.000 0.500 0.322
Sc2 0.000 0.500 0.822
Sc3 0.500 0.000 0.322
Sc4 0.500 0.000 0.822
Ge1 0.000 0.000 0.200
Ge2 0.000 0.000 0.446
Ge3 0.500 0.500 0.700
Ge4 0.500 0.500 0.946

---

Entry 11:
Entry from OQMD via LeMat-Bulk: an optimized crystal structure of NdTlGeSe3 (GGA-PBE).

Calculated values
- M_tot: 0.0 μB per formula unit

a b c (Å): 7.440 7.440 11.424
angles (deg): 90.00 90.00 144.15
Element x y z (fractional)
Nd1 0.000 0.000 0.000
Nd2 0.000 0.000 0.500
Tl1 0.259 0.741 0.750
Tl2 0.741 0.259 0.250
Ge1 0.467 0.533 0.250
Ge2 0.533 0.467 0.750
Se1 0.071 0.929 0.250
Se2 0.367 0.633 0.056
Se3 0.367 0.633 0.444
Se4 0.633 0.367 0.556
Se5 0.633 0.367 0.944
Se6 0.929 0.071 0.750

---

Entry 12:
Entry from OQMD via LeMat-Bulk: an optimized crystal structure of NdSiGe (GGA-PBE).

Calculated values
- M_tot: 0.0 μB per formula unit
- Excess energy over the best structure of this formula in the dataset: 68.5 kJ per mole of atoms

a b c (Å): 6.854 6.854 6.854
angles (deg): 90.00 90.00 90.00
Element x y z (fractional)
Nd1 0.000 0.000 0.000
Nd2 0.000 0.500 0.500
Nd3 0.500 0.000 0.500
Nd4 0.500 0.500 0.000
Si1 0.250 0.250 0.250
Si2 0.250 0.750 0.750
Si3 0.750 0.250 0.750
Si4 0.750 0.750 0.250
Ge1 0.250 0.250 0.750
Ge2 0.250 0.750 0.250
Ge3 0.750 0.250 0.250
Ge4 0.750 0.750 0.750

---

Number 1: uncorrected energy -4.594 eV/atom. Number 2: uncorrected energy -4.176 eV/atom. Number 3: uncorrected energy -5.948 eV/atom. Number 4: uncorrected energy -6.886 eV/atom. Number 5: uncorrected energy -5.758 eV/atom. Number 6: uncorrected energy -4.895 eV/atom. Number 7: uncorrected energy -5.959 eV/atom. Number 8: uncorrected energy -5.075 eV/atom. Number 9: uncorrected energy -5.007 eV/atom. Number 10: uncorrected energy -5.954 eV/atom. Number 11: uncorrected energy -4.562 eV/atom. Number 12: uncorrected energy -4.826 eV/atom.